DFT (SCAN) results for a PBEsol-optimized structure of Nb2VSe4.

The structure in POSCAR format:
```
Nb2VSe4
1.0
-2.339 -1.269 -2.192
4.545 -3.113 -3.048
-1.765 -2.724 6.173
Nb Se V
2 4 1
Cartesian
-0.053 -2.726 1.635
0.494 -4.380 -0.702
-0.988 -5.080 1.284
2.453 -4.567 -2.685
-2.012 -2.540 3.618
1.428 -2.026 -0.351
0.000 0.000 0.000
```

Computed properties:
Space-group type: C2/m
Total DFT energy (no corrections), eV/atom: -24.420
M_tot, μB/f.u.: 2.262
Crystal system: monoclinic
E_form (uncorrected), eV per formula unit: -6.9


DFT (SCAN) results for a PBEsol-optimized structure of Nb12ZnSe16.

The structure in POSCAR format:
```
Nb12ZnSe16
1.0
6.888 0.003 0.000
-0.004 9.985 -0.007
-3.442 -4.989 8.652
Nb Zn Se
12 1 16
Cartesian
4.310 5.671 0.944
0.853 5.659 0.951
4.290 6.335 4.420
0.872 6.331 4.429
4.317 2.984 3.263
0.848 2.991 3.266
2.589 -0.660 7.694
-0.868 -0.672 7.701
2.570 -1.332 4.215
-0.849 -1.336 4.224
2.593 2.008 5.379
-0.875 2.015 5.381
0.000 0.000 0.000
0.853 7.990 2.392
4.304 7.994 2.410
0.864 3.904 5.709
4.297 3.919 5.717
0.854 3.070 0.522
4.309 3.096 0.525
-0.863 -2.995 6.235
2.589 -2.990 6.252
-0.855 1.080 2.927
2.578 1.095 2.936
-0.867 1.904 8.120
2.588 1.929 8.123
0.860 0.010 5.769
4.305 -0.001 5.762
-0.864 5.000 2.883
2.582 4.990 2.875
```

Computed properties:
Space-group type: P-1
Total DFT energy (no corrections), eV/atom: -26.142
M_tot, μB/f.u.: 0.000
Crystal system: triclinic
E_form (uncorrected), eV per formula unit: -25.8


DFT (SCAN) results for a PBEsol-optimized structure of ZrNbSe2.

The structure in POSCAR format:
```
ZrNbSe2
1.0
-4.232 1.620 0.842
-2.193 -1.187 3.875
-0.653 3.122 3.327
Nb Se Zr
1 2 1
Cartesian
-3.539 1.777 4.022
-1.769 0.889 2.011
-5.308 2.666 6.033
0.000 0.000 0.000
```

Computed properties:
Space-group type: Fm-3m
Total DFT energy (no corrections), eV/atom: -26.808
M_tot, μB/f.u.: 0.001
Crystal system: cubic
E_form (uncorrected), eV per formula unit: -3.2


DFT (SCAN) results for a PBEsol-optimized structure of Nb5Si3.

The structure in POSCAR format:
```
Nb5Si3
1.0
5.244 0.000 0.000
0.000 7.517 0.000
0.000 -3.758 6.510
Nb Si
10 6
Cartesian
1.311 0.938 1.624
1.311 5.641 0.000
3.933 -0.938 1.624
2.622 0.000 4.340
1.311 -2.821 4.885
2.622 3.758 2.170
3.933 1.876 0.000
0.000 0.000 4.340
3.933 2.821 4.885
0.000 3.758 2.170
3.933 1.478 2.561
3.933 -2.280 3.949
1.311 -1.478 2.561
3.933 4.560 0.000
1.311 2.280 3.949
1.311 2.957 0.000
```

Computed properties:
Space-group type: P6_3/mcm
Total DFT energy (no corrections), eV/atom: -25.054
M_tot, μB/f.u.: 0.000
Crystal system: hexagonal
E_form (uncorrected), eV per formula unit: -4.7


DFT (SCAN) results for a PBEsol-optimized structure of NbSi2.

The structure in POSCAR format:
```
NbSi2
1.0
-1.578 0.550 -4.469
-0.758 -4.106 2.310
-5.707 2.350 2.304
Nb Si
3 6
Cartesian
-2.691 1.058 -1.467
-1.168 -1.778 -1.080
-4.184 -0.486 2.691
-4.429 1.087 0.477
-0.889 -3.362 1.227
-2.396 -0.440 0.792
-5.516 -1.509 0.434
-1.447 -0.193 -3.387
-3.744 -1.549 -1.416
```

Computed properties:
Space-group type: P6_422
Total DFT energy (no corrections), eV/atom: -18.228
M_tot, μB/f.u.: 0.000
Crystal system: hexagonal
E_form (uncorrected), eV per formula unit: -1.5


DFT (SCAN) results for a PBEsol-optimized structure of Nb5Si3.

The structure in POSCAR format:
```
Nb5Si3
1.0
-4.311 -2.113 1.570
0.561 -7.478 -0.399
0.336 -1.222 7.401
Nb Si
10 6
Cartesian
-3.402 -8.721 3.298
-3.151 -4.036 2.167
-0.013 -2.092 5.275
-2.785 -5.935 4.679
-2.042 -6.659 1.683
-2.385 -8.789 6.000
-0.263 -6.777 6.407
-1.373 -4.155 6.890
-1.030 -2.024 2.573
-0.630 -4.878 3.894
-0.812 -7.522 3.897
-3.233 -1.585 1.178
-1.078 -0.528 0.393
-3.042 -6.518 7.252
-0.373 -4.295 1.322
-2.602 -3.291 4.677
```

Computed properties:
Space-group type: I4/mcm
Total DFT energy (no corrections), eV/atom: -25.113
M_tot, μB/f.u.: 0.000
Crystal system: tetragonal
E_form (uncorrected), eV per formula unit: -5.2


DFT (SCAN) results for a PBEsol-optimized structure of Nb5SiSn2.

The structure in POSCAR format:
```
Nb5SiSn2
1.0
5.110 0.000 0.000
2.555 7.459 0.000
2.555 0.000 7.459
Nb Si Sn
10 2 4
Cartesian
2.555 5.358 1.054
2.555 2.100 1.054
7.665 2.100 6.405
6.388 3.729 3.729
5.110 6.405 5.358
5.110 1.054 2.100
3.833 3.729 3.729
5.110 1.054 5.358
7.665 5.358 6.405
5.110 6.405 2.100
3.833 0.000 0.000
1.278 0.000 0.000
5.110 3.729 6.247
7.665 6.247 3.729
5.110 3.729 1.212
2.555 1.212 3.729
```

Computed properties:
Space-group type: I4/mcm
Total DFT energy (no corrections), eV/atom: -31.353
M_tot, μB/f.u.: 0.000
Crystal system: tetragonal
E_form (uncorrected), eV per formula unit: -3.3


DFT (SCAN) results for a PBEsol-optimized structure of SrNbSi2.

The structure in POSCAR format:
```
SrNbSi2
1.0
-2.959 -2.791 -2.536
-0.395 -4.659 1.058
-4.023 -1.671 2.001
Sr Nb Si
1 1 2
Cartesian
0.000 0.000 0.000
-3.688 -4.560 0.262
-1.844 -2.280 0.131
-5.532 -6.840 0.393
```

Computed properties:
Space-group type: Fm-3m
Total DFT energy (no corrections), eV/atom: -18.589
M_tot, μB/f.u.: 2.425
Crystal system: cubic
E_form (uncorrected), eV per formula unit: 1.1


DFT (SCAN) results for a PBEsol-optimized structure of Ta2NbSi2.

The structure in POSCAR format:
```
Ta2NbSi2
1.0
3.480 0.000 0.000
0.000 6.683 0.000
0.000 0.000 6.683
Nb Si Ta
2 4 4
Cartesian
0.000 0.000 0.000
0.000 3.342 3.342
0.000 2.484 5.825
0.000 5.825 4.200
0.000 4.200 0.858
0.000 0.858 2.484
1.740 1.133 4.474
1.740 4.474 5.550
1.740 5.550 2.209
1.740 2.209 1.133
```

Computed properties:
Space-group type: P4/mbm
Total DFT energy (no corrections), eV/atom: -37.819
M_tot, μB/f.u.: 0.000
Crystal system: tetragonal
E_form (uncorrected), eV per formula unit: -2.8


DFT (SCAN) results for a PBEsol-optimized structure of TaNb2Si2.

The structure in POSCAR format:
```
TaNb2Si2
1.0
-2.498 -1.083 -2.161
-0.179 -5.898 3.163
-4.652 2.384 4.183
Nb Si Ta
4 4 2
Cartesian
-4.403 0.049 2.270
-5.224 -2.525 4.509
-2.926 -4.645 2.915
-2.105 -2.071 0.676
-4.123 -0.115 4.824
-3.077 -3.646 5.385
-0.708 -3.398 2.522
-1.754 0.132 1.961
0.000 0.000 0.000
-2.415 -1.757 3.673
```

Computed properties:
Space-group type: P4/mbm
Total DFT energy (no corrections), eV/atom: -31.217
M_tot, μB/f.u.: 0.000
Crystal system: tetragonal
E_form (uncorrected), eV per formula unit: -3.2


DFT (SCAN) results for a PBEsol-optimized structure of Zr2TaNbSi.

The structure in POSCAR format:
```
Zr2TaNbSi
1.0
4.693 0.000 0.000
0.000 4.903 0.000
0.000 0.000 4.903
Nb Si Zr Ta
1 1 2 1
Cartesian
0.000 0.000 0.000
2.347 0.000 0.000
0.000 0.000 2.452
0.000 2.452 0.000
2.347 2.452 2.452
```

Computed properties:
Space-group type: P4/mmm
Total DFT energy (no corrections), eV/atom: -33.000
M_tot, μB/f.u.: 0.001
Crystal system: tetragonal
E_form (uncorrected), eV per formula unit: 6.1


DFT (SCAN) results for a PBEsol-optimized structure of Nb3SiTe6.

The structure in POSCAR format:
```
Nb3SiTe6
1.0
6.326 0.000 0.000
0.000 11.449 0.000
0.000 0.000 13.882
Nb Si Te
12 4 24
Cartesian
5.254 1.894 10.412
2.091 3.831 10.412
4.235 7.618 3.471
1.072 9.556 3.471
1.924 0.401 10.412
5.087 5.324 10.412
1.239 6.126 3.471
4.402 11.048 3.471
0.202 7.882 10.412
3.365 9.292 10.412
2.960 2.157 3.471
6.123 3.567 3.471
5.851 10.599 10.412
2.688 6.575 10.412
3.638 4.874 3.471
0.475 0.850 3.471
0.946 2.098 8.502
4.109 3.627 12.322
2.217 7.822 5.381
5.380 9.352 1.560
5.380 9.352 5.381
2.217 7.822 1.560
4.109 3.627 8.502
0.946 2.098 12.322
1.288 9.684 8.551
4.451 7.490 12.272
1.875 3.959 5.331
5.038 1.765 1.610
5.038 1.765 5.331
1.875 3.959 1.610
4.451 7.490 8.551
1.288 9.684 12.272
4.078 0.027 8.598
0.915 5.697 12.225
5.411 5.752 5.284
2.248 11.422 1.657
2.248 11.422 5.284
5.411 5.752 1.657
0.915 5.697 8.598
4.078 0.027 12.225
```

Computed properties:
Space-group type: Pnma
Total DFT energy (no corrections), eV/atom: -33.793
M_tot, μB/f.u.: 0.000
Crystal system: orthorhombic
E_form (uncorrected), eV per formula unit: -5.0


DFT (SCAN) results for a PBEsol-optimized structure of TiNbSi2.

The structure in POSCAR format:
```
TiNbSi2
1.0
-2.936 -1.871 -2.679
-3.339 -2.312 1.673
-4.093 1.580 -0.220
Nb Si Ti
1 2 1
Cartesian
-5.184 -1.302 -0.613
-2.592 -0.651 -0.306
-7.776 -1.953 -0.919
0.000 0.000 0.000
```

Computed properties:
Space-group type: Fm-3m
Total DFT energy (no corrections), eV/atom: -17.482
M_tot, μB/f.u.: 0.000
Crystal system: cubic
E_form (uncorrected), eV per formula unit: -0.7


DFT (SCAN) results for a PBEsol-optimized structure of Nb2Si2W.

The structure in POSCAR format:
```
Nb2Si2W
1.0
3.502 0.000 0.000
0.000 6.570 0.000
0.000 0.000 6.570
Nb Si W
4 4 2
Cartesian
1.751 1.115 4.400
1.751 4.400 5.455
1.751 5.455 2.170
1.751 2.170 1.115
0.000 2.428 5.714
0.000 5.714 4.142
0.000 4.142 0.857
0.000 0.857 2.428
0.000 0.000 0.000
0.000 3.285 3.285
```

Computed properties:
Space-group type: P4/mbm
Total DFT energy (no corrections), eV/atom: -31.667
M_tot, μB/f.u.: 0.000
Crystal system: tetragonal
E_form (uncorrected), eV per formula unit: -2.4


DFT (SCAN) results for a PBEsol-optimized structure of Nb3SiW.

The structure in POSCAR format:
```
Nb3SiW
1.0
-0.122 1.831 -4.426
-3.674 -2.876 -1.089
-3.073 3.366 1.477
Nb Si W
3 1 1
Cartesian
-1.837 -1.438 -0.544
-1.536 1.683 0.738
-0.061 0.915 -2.213
-3.434 1.160 -2.019
0.000 0.000 0.000
```

Computed properties:
Space-group type: Pm-3m
Total DFT energy (no corrections), eV/atom: -34.403
M_tot, μB/f.u.: 0.000
Crystal system: cubic
E_form (uncorrected), eV per formula unit: 7.1


DFT (SCAN) results for a PBEsol-optimized structure of NbZnSi2.

The structure in POSCAR format:
```
NbZnSi2
1.0
5.336 0.000 0.000
2.668 4.856 0.000
2.668 0.000 4.856
Nb Si Zn
2 4 2
Cartesian
6.670 2.428 2.428
0.000 0.000 0.000
4.669 4.743 2.315
4.669 0.113 2.541
3.335 2.315 0.113
8.670 2.541 4.743
4.002 2.428 2.428
2.668 0.000 0.000
```

Computed properties:
Space-group type: I-42d
Total DFT energy (no corrections), eV/atom: -16.316
M_tot, μB/f.u.: 0.000
Crystal system: tetragonal
E_form (uncorrected), eV per formula unit: 1.4


DFT (SCAN) results for a PBEsol-optimized structure of Zr2NbSi2.

The structure in POSCAR format:
```
Zr2NbSi2
1.0
-1.804 3.100 -0.917
-5.126 -1.746 4.179
3.067 3.306 5.143
Nb Si Zr
2 4 4
Cartesian
0.000 0.000 0.000
-1.030 0.780 4.661
0.761 2.238 6.069
-2.570 0.537 6.870
-2.820 -0.678 3.252
0.511 1.023 2.451
0.270 3.476 3.747
-1.834 3.097 6.605
-4.133 1.183 4.657
-2.028 1.562 1.800
```

Computed properties:
Space-group type: P4/mbm
Total DFT energy (no corrections), eV/atom: -23.804
M_tot, μB/f.u.: 0.000
Crystal system: tetragonal
E_form (uncorrected), eV per formula unit: -4.5


DFT (SCAN) results for a PBEsol-optimized structure of ZrNb3Si.

The structure in POSCAR format:
```
ZrNb3Si
1.0
-0.392 0.866 4.577
1.631 -4.277 0.949
4.363 1.677 0.057
Nb Si Zr
3 1 1
Cartesian
0.816 -2.138 0.475
2.182 0.838 0.028
-0.196 0.433 2.288
0.000 0.000 0.000
2.801 -0.867 2.791
```

Computed properties:
Space-group type: Pm-3m
Total DFT energy (no corrections), eV/atom: -27.598
M_tot, μB/f.u.: 0.000
Crystal system: cubic
E_form (uncorrected), eV per formula unit: 2.1


DFT (SCAN) results for a PBEsol-optimized structure of NbSn2.

The structure in POSCAR format:
```
NbSn2
1.0
5.352 0.001 0.000
-2.653 4.648 0.000
-1.350 -2.325 4.882
Nb Sn
2 4
Cartesian
1.350 2.325 0.000
2.676 0.001 2.441
0.020 1.543 2.441
-1.307 3.867 0.000
-2.673 3.106 2.441
4.006 0.783 0.000
```

Computed properties:
Space-group type: Fddd
Total DFT energy (no corrections), eV/atom: -35.064
M_tot, μB/f.u.: 0.000
Crystal system: orthorhombic
Calculated formation energy, eV per atom: -0.074


DFT (SCAN) results for a PBEsol-optimized structure of SrNbSnTe2.

The structure in POSCAR format:
```
SrNbSnTe2
1.0
5.706 0.000 0.000
0.000 5.706 0.000
0.000 0.000 5.747
Sr Nb Te Sn
1 1 2 1
Cartesian
0.000 0.000 2.874
2.853 2.853 2.874
0.000 2.853 0.000
2.853 0.000 0.000
0.000 0.000 0.000
```

Computed properties:
Space-group type: P4/mmm
Total DFT energy (no corrections), eV/atom: -32.368
M_tot, μB/f.u.: 4.115
Crystal system: tetragonal
E_form (uncorrected), eV per formula unit: 4.0